(1)
Here is Zn2SiP at its PBEsol-relaxed geometry from Alexandria. Energies are from meta-GGA SCAN.

Properties
As for the symmetry: Pmm2 (25). The uncorrected formation energy is 41.1 kJ per mole of atoms. The calculation puts the magnetic moment at 0.00 μB per formula unit. The calculation puts the density of states at the Fermi level at 0.410 states/eV/atom.

The structure in POSCAR format:
```
Zn2SiP
1.0
-1.127 2.284 0.645
-2.781 -0.598 -2.744
-3.263 -2.711 3.898
P Zn Si
1 2 1
Direct
0.000 0.000 0.452
0.000 0.000 0.986
0.500 0.500 0.271
0.500 0.500 0.790
```



(2)
Here is Zn2SiP at its PBEsol-relaxed geometry from Alexandria. Energies are from meta-GGA SCAN.

Properties
As for the symmetry: Immm (71). The uncorrected formation energy is 30.9 kJ per mole of atoms. The calculation puts the magnetic moment at 0.00 μB per formula unit. The calculation puts the density of states at the Fermi level at 0.335 states/eV/atom.

The structure in POSCAR format:
```
Zn2SiP
1.0
3.339 0.000 0.000
0.000 3.382 0.000
-1.670 -1.691 5.513
Si Zn P
1 2 1
Direct
0.000 0.500 0.000
0.697 0.697 0.394
0.303 0.303 0.606
0.500 0.000 0.000
```



Q: Which value of magnetic moment does entry 1 give?
A: 0.00 μB per formula unit